(1)
First-principles (PBE) data for a relaxed structure of MgSc, as listed in Alexandria via LeMat-Bulk.

Values from the calculation:
As for the symmetry: No. 166. For the calculated formation energy, the calculation gives 0.016 eV/atom.

Unit cell a=10.7328 b=10.7328 c=10.7328 alpha=17.34 beta=17.34 gamma=17.34
Fractional coordinates of all 4 atoms:
Mg (0.1251, 0.1251, 0.1251)
Mg (0.8749, 0.8749, 0.8749)
Sc (0.3743, 0.3743, 0.3743)
Sc (0.6257, 0.6257, 0.6257)

---

(2)
First-principles (PBE) data for a relaxed structure of PmY3N4, as listed in Alexandria via LeMat-Bulk.

Values from the calculation:
As for the uncorrected formation energy: -1611 meV/atom. As for the symmetry: No. 221.

Unit cell a=4.9721 b=4.9721 c=4.9721 alpha=90.00 beta=90.00 gamma=90.00
Fractional coordinates of all 8 atoms:
Pm (0.0000, 0.0000, 0.0000)
Y (0.0000, 0.5000, 0.5000)
Y (0.5000, 0.0000, 0.5000)
Y (0.5000, 0.5000, 0.0000)
N (0.0000, 0.0000, 0.5000)
N (0.0000, 0.5000, 0.0000)
N (0.5000, 0.0000, 0.0000)
N (0.5000, 0.5000, 0.5000)

---

(3)
First-principles (PBE) data for a relaxed structure of CaTlRu, as listed in Alexandria via LeMat-Bulk.

Values from the calculation:
As for the symmetry: No. 38. For the calculated formation energy, the calculation gives 0.059 eV/atom.

Unit cell a=4.1421 b=8.9475 c=8.9475 alpha=27.46 beta=90.00 gamma=90.00
Fractional coordinates of all 6 atoms:
Ca (0.0000, 0.0000, 0.0000)
Ca (0.0000, 0.2138, 0.2138)
Tl (0.5000, 0.6051, 0.6051)
Tl (0.5000, 0.8311, 0.8311)
Ru (0.0000, 0.3785, 0.3785)
Ru (0.5000, 0.4442, 0.4442)